Record 1
VASP calculation (PBE) on crystalline ZrOsPt2C at its relaxed geometry.

Computed properties:
Formation energy: 9.89 eV per formula unit

Unit cell a=4.954 b=4.954 c=4.074 alpha=90.00 beta=90.00 gamma=90.00
Space group P4/mmm (No. 123)
Asymmetric unit:
Zr 0.000 0.000 0.000 [1 per cell]
Os 0.500 0.500 0.500 [1 per cell]
Pt 0.000 0.500 0.000 [2 per cell]
C 0.000 0.000 0.500 [1 per cell]

---

Record 2
VASP calculation (PBE) on crystalline PuOsC at its relaxed geometry.

Computed properties:
Formation energy: 0.83 eV per formula unit

Unit cell a=12.6464 b=12.6464 c=6.9008 alpha=90.00 beta=90.00 gamma=120.00
Space group R-3 (No. 148, hexagonal axes)
Asymmetric unit:
Pu 0.0791 0.1983 0.3322 [18 per cell]
Os 0.0042 0.5915 0.6059 [18 per cell]
C 0.0115 0.4472 0.6933 [18 per cell]

---

Record 3
VASP calculation (PBE) on crystalline PuOsC at its relaxed geometry.

Computed properties:
Formation energy: 0.69 eV per formula unit

Unit cell a=3.4423 b=3.4423 c=4.8146 alpha=90.00 beta=90.00 gamma=120.00
Space group P-6m2 (No. 187)
Asymmetric unit:
Pu 0.0000 0.0000 0.0000 [1 per cell]
Os 0.6667 0.3333 0.5000 [1 per cell]
C 0.3333 0.6667 0.5000 [1 per cell]

---

Record 4
VASP calculation (PBE) on crystalline PuOsC2 at its relaxed geometry.

Computed properties:
Formation energy: 1.09 eV per formula unit

Unit cell a=3.3332 b=3.3332 c=15.1240 alpha=90.00 beta=90.00 gamma=120.00
Space group R-3m (No. 166, hexagonal axes)
Asymmetric unit:
Pu 0.0000 0.0000 0.0000 [3 per cell]
Os 0.0000 0.0000 0.5000 [3 per cell]
C 0.0000 0.0000 0.2365 [6 per cell]

---

Record 5
VASP calculation (PBE) on crystalline Pu2Os2C3 at its relaxed geometry.

Computed properties:
Formation energy: -0.13 eV per formula unit

Unit cell a=11.603 b=3.411 c=5.556 alpha=90.00 beta=114.35 gamma=90.00
Space group C2/m (No. 12)
Asymmetric unit:
Pu 0.104 0.000 0.306 [4 per cell]
Os 0.159 0.500 0.824 [4 per cell]
C 0.000 0.500 0.500 [2 per cell]
C 0.246 0.000 0.762 [4 per cell]

---

Record 6
VASP calculation (PBE) on crystalline PuSiOs2C at its relaxed geometry.

Computed properties:
Formation energy without anion corrections: -0.332 eV per atom

Unit cell a=3.903 b=11.138 c=7.112 alpha=90.00 beta=90.00 gamma=90.00
Space group Cmcm (No. 63)
Asymmetric unit:
Pu 0.000 0.049 0.250 [4 per cell]
Si 0.000 0.229 0.750 [4 per cell]
Os 0.000 0.333 0.057 [8 per cell]
C 0.000 0.500 0.000 [4 per cell]

---

no.,final energy (eV per formula unit)
1,-31.19
2,-33.96
3,-34.10
4,-42.92
5,-78.93
6,-53.10